First-principles (PBE) data for crystalline Zr3GaB2 at its relaxed geometry, as listed in the Open Quantum Materials Database.

## Properties
Crystal system: hexagonal
Total DFT energy (no corrections) (eV/atom): -7.432
Mass density (g/cm3): 5.9
M_tot (μB/atom): 0.00

Unit cell a=3.4259 b=3.4259 c=20.1907 alpha=90.00 beta=90.00 gamma=120.00
Last column: nearest neighbours and their distance in Å.
Space group P6_3/mmc (No. 194)
Symmetry-distinct sites (fractional):
Zr (0.0000, 0.0000, 0.0000) [2 per cell]  6 B 2.47
Zr (0.3333, 0.6667, 0.1385) [4 per cell]  3 B 2.38
Ga (0.0000, 0.0000, 0.2500) [2 per cell]  6 Zr 3.00
B (0.3333, 0.6667, 0.5729) [4 per cell]  6 Zr 2.38-2.47

=====

First-principles (PBE) data for crystalline ZrGa2B at its relaxed geometry, as listed in the Open Quantum Materials Database.

## Properties
Crystal system: cubic
Total DFT energy (no corrections) (eV/atom): -4.826
Mass density (g/cm3): 6.3
M_tot (μB/atom): 0.00

Unit cell a=6.3226 b=6.3226 c=6.3226 alpha=90.00 beta=90.00 gamma=90.00
Last column: nearest neighbours and their distance in Å.
Space group F-43m (No. 216)
Symmetry-distinct sites (fractional):
Zr (0.0000, 0.0000, 0.0000) [4 per cell]  4 B 2.74, 4 Ga 2.74
Ga (0.0000, 0.0000, 0.5000) [4 per cell]  4 Ga 2.74, 4 B 2.74
Ga (0.2500, 0.2500, 0.2500) [4 per cell]  4 Zr 2.74, 4 Ga 2.74
B (0.2500, 0.2500, 0.7500) [4 per cell]  4 Zr 2.74, 4 Ga 2.74

=====

First-principles (PBE) data for crystalline ZrGaB4 at its relaxed geometry, as listed in the Open Quantum Materials Database.

## Properties
Crystal system: hexagonal
Energy above the lowest structure with this stoichiometry (eV per atom): 0.055
Mass density (g/cm3): 5.6
M_tot (μB/atom): 0.00

Unit cell a=3.1022 b=3.1022 c=7.3140 alpha=90.00 beta=90.00 gamma=120.00
Last column: nearest neighbours and their distance in Å.
Space group P6/mmm (No. 191)
Symmetry-distinct sites (fractional):
Zr (0.0000, 0.0000, 0.0000) [1 per cell]  12 B 2.56
Ga (0.0000, 0.0000, 0.5000) [1 per cell]  12 B 2.56
B (0.3333, 0.6667, 0.2493) [4 per cell]  3 B 1.79